(1)
## ZrTc2P (GGA-PBE)

Data for a geometry-optimized ZrTc2P structure.

## Properties
**Energy relative to the elements**: -19.7 kJ/mol of atoms
**Uncorrected energy**: -0.326 hartree per atom
**DOS(E_F)**: 2.99 states/eV/cell

Cell and atoms, written as CIF:
```
data_ZrTc2P
_chemical_formula_sum 'Zr1 Tc2 P1'
_cell_length_a 3.074
_cell_length_b 4.422
_cell_length_c 4.752
_cell_angle_alpha 90.00
_cell_angle_beta 91.83
_cell_angle_gamma 90.00
_symmetry_space_group_name_H-M 'P 1 2/m 1'
_symmetry_Int_Tables_number 10
_symmetry_space_group_name_Hall '-P 2y'
loop_
_atom_site_label
_atom_site_type_symbol
_atom_site_fract_x
_atom_site_fract_y
_atom_site_fract_z
_atom_site_occupancy
Zr1 Zr 0.000 0.000 0.000 1
Tc1 Tc 0.351 0.500 0.742 1
P1 P 0.500 0.000 0.500 1
```

=====

(2)
## Rb2SrHg2 (GGA-PBE)

Data for a geometry-optimized Rb2SrHg2 structure.

## Properties
**Energy relative to the elements**: -19.3 kJ/mol of atoms
**Energy above the lowest structure with this stoichiometry**: 0 kJ/mol of formula units
**Uncorrected energy**: -0.038 hartree per atom
**DOS(E_F)**: 5.45 states/eV/cell

Cell and atoms, written as CIF:
```
data_Rb2SrHg2
_chemical_formula_sum 'Rb4 Sr2 Hg4'
_cell_length_a 8.713
_cell_length_b 8.713
_cell_length_c 5.974
_cell_angle_alpha 90.00
_cell_angle_beta 90.00
_cell_angle_gamma 90.00
_symmetry_space_group_name_H-M 'P 4/m b m'
_symmetry_Int_Tables_number 127
_symmetry_space_group_name_Hall '-P 4 2ab'
loop_
_atom_site_label
_atom_site_type_symbol
_atom_site_fract_x
_atom_site_fract_y
_atom_site_fract_z
_atom_site_occupancy
Rb1 Rb 0.169 0.331 0.000 1
Sr1 Sr 0.000 0.000 0.500 1
Hg1 Hg 0.126 0.626 0.500 1
```